Record 1
An optimized crystal structure of Pm3ClO3. Source: Alexandria, functional PBE.

Calculated values
DFT total energy (eV per atom): -7.2748

Lattice parameters (Å, degrees): 6.8907 6.8907 7.9061 64.16 64.16 60.00
With the nearest neighbours (Å) after each atom.
Atoms (fractional coordinates):
Pm1 0.2137 0.5806 0.2982  4 O 2.32-2.36
O1 0.7662 0.1302 0.6422  4 Pm 2.32-2.36
Cl1 0.6676 0.6676 0.9972  6 Pm 3.08-3.15, 6 O 3.30-3.35
O2 0.1302 0.4614 0.6422  4 Pm 2.32-2.36
Pm2 0.5806 0.9074 0.2982  4 O 2.32-2.36
O3 0.8698 0.5386 0.3578  4 Pm 2.32-2.36
O4 0.2338 0.8698 0.3578  4 Pm 2.32-2.36
Pm3 0.0926 0.7863 0.7018  4 O 2.32-2.36
O5 0.5386 0.2338 0.3578  4 Pm 2.32-2.36
Pm4 0.4194 0.0926 0.7018  4 O 2.32-2.36
Pm5 0.7863 0.4194 0.7018  4 O 2.32-2.36
O6 0.4614 0.7662 0.6422  4 Pm 2.32-2.36
Cl2 0.3324 0.3324 0.0028  6 Pm 3.08-3.15, 6 O 3.30-3.35
Pm6 0.9074 0.2137 0.2982  4 O 2.32-2.36

Record 2
An optimized crystal structure of La2PbO. Source: Alexandria, functional PBE.

Calculated values
Relative energy among the computed polymorphs (meV per atom): 0
DFT total energy (eV per atom): -6.4447

Lattice parameters (Å, degrees): 4.8019 4.8019 9.4319 90.01 90.01 90.00
With the nearest neighbours (Å) after each atom.
Atoms (fractional coordinates):
La1 0.2500 0.7500 0.5000  4 O 2.52
Pb1 0.7498 0.7498 0.2037  9 La 3.41-3.68, 1 O 3.57
O1 0.7501 0.7501 0.5821  5 La 2.38-2.52
La2 0.7500 0.2500 0.5000  4 O 2.52
Pb2 0.2502 0.2502 0.7963  9 La 3.41-3.68, 1 O 3.57
La3 0.7502 0.7502 0.8341  1 O 2.38
O2 0.2499 0.2499 0.4179  5 La 2.38-2.52
La4 0.2498 0.2498 0.1659  1 O 2.38

Record 3
An optimized crystal structure of RbPu4Ni3Se12. Source: Alexandria, functional PBE.

Calculated values
DFT total energy (eV per atom): -6.6170

Lattice parameters (Å, degrees): 8.8106 8.8106 8.8106 109.47 109.47 109.47
With the nearest neighbours (Å) after each atom.
Atoms (fractional coordinates):
Ni1 0.5000 0.5000 0.0000  4 Se 2.36
Se1 0.8413 0.5100 0.6687  1 Ni 2.36
Se2 0.6687 0.1587 0.8274  1 Ni 2.36
Se3 0.8413 0.1726 0.3313  1 Ni 2.36
Se4 0.5100 0.6687 0.8413  1 Ni 2.36
Se5 0.1726 0.3313 0.8413  1 Ni 2.36
Pu1 0.5000 0.5000 0.5000  6 Se 2.83
Rb1 0.0000 0.0000 0.0000  12 Se 3.74
Se6 0.3313 0.8413 0.1726  1 Ni 2.36
Se7 0.8274 0.6687 0.1587  1 Ni 2.36
Se8 0.3313 0.1587 0.4900  1 Ni 2.36
Pu2 0.5000 0.0000 0.0000  6 Se 2.83
Se9 0.6687 0.8413 0.5100  1 Ni 2.36
Pu3 0.0000 0.5000 0.0000  6 Se 2.83
Ni2 0.0000 0.5000 0.5000  4 Se 2.36
Pu4 0.0000 0.0000 0.5000  6 Se 2.83
Ni3 0.5000 0.0000 0.5000  4 Se 2.36
Se10 0.1587 0.4900 0.3313  1 Ni 2.36
Se11 0.1587 0.8274 0.6687  1 Ni 2.36
Se12 0.4900 0.3313 0.1587  1 Ni 2.36

Record 4
An optimized crystal structure of Tb12Nd7Sc. Source: Alexandria, functional PBE.

Calculated values
Relative energy among the computed polymorphs (meV per atom): 408
DFT formation energy (eV/atom): 0.66
DFT total energy (eV per atom): -4.1039

Lattice parameters (Å, degrees): 9.8378 9.8378 9.8378 109.47 109.47 109.47
With the nearest neighbours (Å) after each atom.
Atoms (fractional coordinates):
Tb1 0.9997 0.7575 0.2423  2 Nd 2.84
Tb2 0.2423 0.4848 0.2425  2 Nd 2.84
Tb3 0.7575 0.7577 0.5152  2 Nd 2.84
Tb4 0.4848 0.2425 0.2423  2 Nd 2.84
Tb5 0.7577 0.5152 0.7575  2 Nd 2.84
Nd1 0.0000 0.5000 0.0000  6 Tb 2.84
Nd2 0.5000 0.0000 0.0000  6 Tb 2.84
Nd3 0.5000 0.0000 0.5000  12 Tb 4.02-4.14
Tb6 0.2423 0.9997 0.7575  2 Nd 2.84
Tb7 0.7577 0.0003 0.2425  2 Nd 2.84
Nd4 0.0000 0.0000 0.5000  6 Tb 2.84
Tb8 0.2425 0.2423 0.4848  2 Nd 2.84
Nd5 0.5000 0.5000 0.5000  6 Tb 2.84
Tb9 0.5152 0.7575 0.7577  2 Nd 2.84
Nd6 0.0000 0.5000 0.5000  12 Tb 4.02-4.14
Tb10 0.0003 0.2425 0.7577  2 Nd 2.84
Tb11 0.2425 0.7577 0.0003  2 Nd 2.84
Tb12 0.7575 0.2423 0.9997  2 Nd 2.84
Nd7 0.5000 0.5000 0.0000  12 Tb 4.02-4.14
Sc1 0.0000 0.0000 0.0000  12 Tb 3.89

Record 5
An optimized crystal structure of LaSbOs3. Source: Alexandria, functional PBE.

Calculated values
Relative energy among the computed polymorphs (meV per atom): 1288
DFT total energy (eV per atom): -5.9042

Lattice parameters (Å, degrees): 4.8956 4.8956 4.8956 90.00 90.00 90.00
With the nearest neighbours (Å) after each atom.
Atoms (fractional coordinates):
Sb1 0.5000 0.5000 0.5000  12 Os 3.46
Os1 0.0000 0.5000 0.0000  2 La 2.45
Os2 0.5000 0.0000 0.0000  2 La 2.45
Os3 0.0000 0.0000 0.5000  2 La 2.45
La1 0.0000 0.0000 0.0000  6 Os 2.45

Record 6
An optimized crystal structure of Pr2Ga4Ir3Pd. Source: Alexandria, functional PBE.

Calculated values
DFT formation energy (eV/atom): -0.73
DFT total energy (eV per atom): -6.0713

Lattice parameters (Å, degrees): 4.3049 4.3049 10.3502 90.00 90.00 90.00
With the nearest neighbours (Å) after each atom.
Atoms (fractional coordinates):
Ir1 0.5000 0.0000 0.8684  5 Ga 2.49-2.55
Ga1 0.0000 0.5000 0.3722  3 Ir 2.49-2.53, 2 Pd 2.53
Pd1 0.5000 0.5000 0.5000  4 Ga 2.53
Ga2 0.5000 0.0000 0.6278  3 Ir 2.49-2.53, 2 Pd 2.53
Pr1 0.0000 0.5000 0.7484  6 Ir 3.29-3.35, 8 Ga 3.29-3.38, 2 Pd 3.35
Pr2 0.5000 0.0000 0.2516  6 Ir 3.29-3.35, 8 Ga 3.29-3.38, 2 Pd 3.35
Ga3 0.0000 0.0000 0.0000  4 Ir 2.55
Ir2 0.0000 0.0000 0.5000  4 Ga 2.53
Ir3 0.0000 0.5000 0.1316  5 Ga 2.49-2.55
Ga4 0.5000 0.5000 0.0000  4 Ir 2.55

Record 7
An optimized crystal structure of PmAlCl. Source: Alexandria, functional PBE.

Calculated values
DFT total energy (eV per atom): -4.6957

Lattice parameters (Å, degrees): 4.2541 4.2541 11.1073 78.96 78.96 60.00
With the nearest neighbours (Å) after each atom.
Atoms (fractional coordinates):
Al1 0.1601 0.1601 0.5196  3 Al 2.49
Cl1 0.2813 0.2813 0.1561  3 Pm 2.91
Pm1 0.4335 0.4335 0.6995  3 Cl 2.91, 3 Al 3.14
Cl2 0.7187 0.7187 0.8439  3 Pm 2.91
Al2 0.8399 0.8399 0.4804  3 Al 2.49
Pm2 0.5665 0.5665 0.3005  3 Cl 2.91, 3 Al 3.14

Record 8
An optimized crystal structure of Co2HgSb2. Source: Alexandria, functional PBE.

Calculated values
Relative energy among the computed polymorphs (meV per atom): 0
DFT total energy (eV per atom): -4.4654

Lattice parameters (Å, degrees): 3.7038 3.7038 8.8502 77.92 77.92 90.00
With the nearest neighbours (Å) after each atom.
Atoms (fractional coordinates):
Co1 0.2500 0.7500 0.5000  4 Sb 2.50, 4 Co 2.62
Co2 0.7500 0.2500 0.5000  4 Sb 2.50, 4 Co 2.62
Sb1 0.6509 0.6509 0.6983  4 Co 2.50
Sb2 0.3491 0.3491 0.3017  4 Co 2.50
Hg1 0.0000 0.0000 0.0000  8 Sb 3.66, 4 Hg 3.70

Record 9
An optimized crystal structure of YLu2Mg. Source: Alexandria, functional PBE.

Calculated values
Relative energy among the computed polymorphs (meV per atom): 44
DFT formation energy (eV/atom): 0.03
DFT total energy (eV per atom): -4.2480

Lattice parameters (Å, degrees): 3.4691 3.4691 11.2872 81.16 81.16 60.00
With the nearest neighbours (Å) after each atom.
Atoms (fractional coordinates):
Y1 0.5000 0.5000 0.5000  6 Y 3.47, 6 Lu 3.50
Mg1 0.0000 0.0000 0.0000  6 Lu 3.34, 6 Mg 3.47
Lu1 0.2529 0.2529 0.2412  3 Mg 3.34, 6 Lu 3.47, 3 Y 3.50
Lu2 0.7471 0.7471 0.7588  3 Mg 3.34, 6 Lu 3.47, 3 Y 3.50

Record 10
An optimized crystal structure of Ce3Pm2NdAs6. Source: Alexandria, functional PBE.

Calculated values
DFT formation energy (eV/atom): -1.48
DFT total energy (eV per atom): -6.4778

Lattice parameters (Å, degrees): 7.3304 7.3304 7.3297 99.60 99.60 120.00
With the nearest neighbours (Å) after each atom.
Atoms (fractional coordinates):
Pm1 0.6667 0.3333 0.0000  6 As 3.01
As1 0.2497 0.2497 0.7455  3 Ce 2.97-2.98, 2 Pm 3.01, 1 Nd 3.02
As2 0.0849 0.4194 0.2547  3 Ce 2.97-2.98, 2 Pm 3.01, 1 Nd 3.02
Nd1 0.0000 0.0000 0.0000  6 As 3.02
Ce1 0.1664 0.8336 0.5000  6 As 2.97-2.98
As3 0.4194 0.0849 0.2547  3 Ce 2.97-2.98, 2 Pm 3.01, 1 Nd 3.02
As4 0.5806 0.9151 0.7453  3 Ce 2.97-2.98, 2 Pm 3.01, 1 Nd 3.02
As5 0.7503 0.7503 0.2545  3 Ce 2.97-2.98, 2 Pm 3.01, 1 Nd 3.02
As6 0.9151 0.5806 0.7453  3 Ce 2.97-2.98, 2 Pm 3.01, 1 Nd 3.02
Pm2 0.3333 0.6667 0.0000  6 As 3.01
Ce2 0.5000 0.5000 0.5000  6 As 2.97-2.98
Ce3 0.8336 0.1664 0.5000  6 As 2.97-2.98

Record 11
An optimized crystal structure of Rb2SrOs3O12. Source: Alexandria, functional PBE.

Calculated values
DFT total energy (eV per atom): -6.7551

Lattice parameters (Å, degrees): 7.1435 7.1435 7.1435 62.88 62.88 62.88
With the nearest neighbours (Å) after each atom.
Atoms (fractional coordinates):
O1 0.2774 0.2774 0.8962  2 Os 1.97
O2 0.7226 0.7226 0.1038  2 Os 1.97
O3 0.4423 0.8733 0.8733  1 Os 1.80
Os1 0.5000 0.0000 0.0000  6 O 1.80-1.97
O4 0.5577 0.1267 0.1267  1 Os 1.80
O5 0.8962 0.2774 0.2774  2 Os 1.97
O6 0.1267 0.1267 0.5577  1 Os 1.80
Rb1 0.3969 0.3969 0.3969  6 O 2.85-3.05
Os2 0.0000 0.0000 0.5000  6 O 1.80-1.97
Os3 0.0000 0.5000 0.0000  6 O 1.80-1.97
O7 0.8733 0.8733 0.4423  1 Os 1.80
O8 0.8733 0.4423 0.8733  1 Os 1.80
O9 0.1267 0.5577 0.1267  1 Os 1.80
Rb2 0.6031 0.6031 0.6031  6 O 2.85-3.05
O10 0.7226 0.1038 0.7226  2 Os 1.97
Sr1 0.0000 0.0000 0.0000  6 O 2.67
O11 0.2774 0.8962 0.2774  2 Os 1.97
O12 0.1038 0.7226 0.7226  2 Os 1.97

Record 12
An optimized crystal structure of CaPm2Ga6. Source: Alexandria, functional PBE.

Calculated values
Relative energy among the computed polymorphs (meV per atom): 156
DFT formation energy (eV/atom): -0.46
DFT total energy (eV per atom): -3.7540

Lattice parameters (Å, degrees): 4.4847 7.9045 7.9045 54.07 73.52 73.52
With the nearest neighbours (Å) after each atom.
Atoms (fractional coordinates):
Pm1 0.6268 0.8732 0.8732  10 Ga 2.89-3.23
Ga1 0.1832 0.1240 0.5097  2 Ga 2.59-2.77, 1 Pm 2.89
Ca1 0.5000 0.5000 0.5000  4 Ga 3.18
Ga2 0.0000 0.1863 0.8137  3 Ga 2.59-2.68
Ga3 0.8168 0.8760 0.4903  2 Ga 2.59-2.77, 1 Pm 2.89
Pm2 0.3732 0.1268 0.1268  10 Ga 2.89-3.23
Ga4 0.1832 0.5097 0.1240  2 Ga 2.59-2.77, 1 Pm 2.89
Ga5 0.0000 0.8137 0.1863  3 Ga 2.59-2.68
Ga6 0.8168 0.4903 0.8760  2 Ga 2.59-2.77, 1 Pm 2.89

Record 13
An optimized crystal structure of TiCrCN2. Source: Alexandria, functional PBE.

Calculated values
Relative energy among the computed polymorphs (meV per atom): 100
DFT total energy (eV per atom): -7.2118

Lattice parameters (Å, degrees): 3.7510 3.5318 3.7510 90.00 90.00 90.00
With the nearest neighbours (Å) after each atom.
Atoms (fractional coordinates):
N1 0.5000 0.0000 0.0000  2 C 1.88
N2 0.0000 0.0000 0.5000  2 C 1.88
Ti1 0.5000 0.5000 0.5000  8 N 2.58, 4 Cr 2.65
Cr1 0.0000 0.5000 0.0000  2 C 1.77
C1 0.0000 0.0000 0.0000  2 Cr 1.77, 4 N 1.88

Record 14
An optimized crystal structure of Cs4Ge2F. Source: Alexandria, functional PBE.

Calculated values
DFT total energy (eV per atom): -2.7628

Lattice parameters (Å, degrees): 7.1582 7.1582 9.2266 67.18 67.18 90.00
With the nearest neighbours (Å) after each atom.
Atoms (fractional coordinates):
Ge1 0.5751 0.5751 0.8498  1 Ge 2.32
Cs1 0.1809 0.1809 0.6382  1 F 2.79
Ge2 0.4249 0.4249 0.1502  1 Ge 2.32
Cs2 0.0000 0.5000 0.0000  2 F 3.58, 4 Ge 3.76
Cs3 0.8191 0.8191 0.3618  1 F 2.79
F1 0.0000 0.0000 0.0000  2 Cs 2.79
Cs4 0.5000 0.0000 0.0000  2 F 3.58, 4 Ge 3.76

Record 15
An optimized crystal structure of HfV3Br. Source: Alexandria, functional PBE.

Calculated values
Relative energy among the computed polymorphs (meV per atom): 1003
DFT total energy (eV per atom): -5.9913

Lattice parameters (Å, degrees): 4.7790 4.7790 4.7790 90.00 90.00 90.00
With the nearest neighbours (Å) after each atom.
Atoms (fractional coordinates):
V1 0.0000 0.5000 0.0000  2 Hf 2.39
Br1 0.5000 0.5000 0.5000  12 V 3.38
Hf1 0.0000 0.0000 0.0000  6 V 2.39
V2 0.0000 0.0000 0.5000  2 Hf 2.39
V3 0.5000 0.0000 0.0000  2 Hf 2.39

Record 16
An optimized crystal structure of Tm2FeRu. Source: Alexandria, functional PBE.

Calculated values
DFT formation energy (eV/atom): -0.18
DFT total energy (eV per atom): -6.8461

Lattice parameters (Å, degrees): 3.3789 3.3789 6.6651 90.00 90.00 90.00
With the nearest neighbours (Å) after each atom.
Atoms (fractional coordinates):
Fe1 0.5000 0.5000 0.5000  8 Tm 2.93
Ru1 0.5000 0.5000 0.0000  8 Tm 2.90
Tm1 0.0000 0.0000 0.7541  4 Ru 2.90, 4 Fe 2.93
Tm2 0.0000 0.0000 0.2459  4 Ru 2.90, 4 Fe 2.93

Record 17
An optimized crystal structure of La6SiTe3As2. Source: Alexandria, functional PBE.

Calculated values
DFT total energy (eV per atom): -5.9783

Lattice parameters (Å, degrees): 4.4532 9.0506 10.0959 104.31 102.74 90.00
With the nearest neighbours (Å) after each atom.
Atoms (fractional coordinates):
Te1 0.8323 0.1673 0.6646  6 La 3.28-3.30
As1 0.8326 0.6653 0.6652  6 La 3.06-3.10
Te2 0.1677 0.8327 0.3354  6 La 3.28-3.30
La1 0.0048 0.2331 0.0095  2 Si 3.05, 1 As 3.10, 3 Te 3.30
Si1 0.5000 0.0000 0.0000  6 La 3.03-3.05
La2 0.3280 0.4308 0.6561  3 As 3.06, 3 Te 3.28
La3 0.9952 0.7669 0.9905  2 Si 3.05, 1 As 3.10, 3 Te 3.30
La4 0.3408 0.9049 0.6815  1 Si 3.03, 2 As 3.08, 3 Te 3.29-3.30
Te3 0.5000 0.5000 0.0000  6 La 3.28-3.30
La5 0.6720 0.5692 0.3439  3 As 3.06, 3 Te 3.28
La6 0.6592 0.0951 0.3185  1 Si 3.03, 2 As 3.08, 3 Te 3.29-3.30
As2 0.1674 0.3347 0.3348  6 La 3.06-3.10

Record 18
An optimized crystal structure of K2Ba2Cd. Source: Alexandria, functional PBE.

Calculated values
Relative energy among the computed polymorphs (meV per atom): 277
DFT formation energy (eV/atom): 0.15
DFT total energy (eV per atom): -1.2419

Lattice parameters (Å, degrees): 8.9622 8.9622 6.9026 90.00 90.00 90.00
With the nearest neighbours (Å) after each atom.
Atoms (fractional coordinates):
K1 0.6449 0.1449 0.0000  2 Cd 3.44, 1 K 3.67
Ba1 0.3171 0.1829 0.5000  6 K 4.08-4.55
Ba2 0.8171 0.3171 0.5000  6 K 4.08-4.55
Ba3 0.1829 0.6829 0.5000  6 K 4.08-4.55
Cd1 0.5000 0.5000 0.0000  4 K 3.44
Ba4 0.6829 0.8171 0.5000  6 K 4.08-4.55
Cd2 0.0000 0.0000 0.0000  4 K 3.44
K2 0.8551 0.6449 0.0000  2 Cd 3.44, 1 K 3.67
K3 0.3551 0.8551 0.0000  2 Cd 3.44, 1 K 3.67
K4 0.1449 0.3551 0.0000  2 Cd 3.44, 1 K 3.67

Record 19
An optimized crystal structure of LaBIrO5. Source: Alexandria, functional PBE.

Calculated values
DFT total energy (eV per atom): -7.7367

Lattice parameters (Å, degrees): 5.4874 5.4874 6.9449 103.56 103.56 108.22
With the nearest neighbours (Å) after each atom.
Atoms (fractional coordinates):
O1 0.1113 0.6790 0.8670  1 B 1.47
O2 0.3210 0.8887 0.6330  1 B 1.47
B1 0.3046 0.6954 0.7500  4 O 1.47-1.56
La1 0.3558 0.6442 0.2500  5 O 2.40-2.43
O3 0.7568 0.5819 0.4155  1 B 1.56
O4 0.4181 0.2432 0.0845  1 B 1.56
La2 0.6442 0.3558 0.7500  5 O 2.40-2.43
O5 0.2432 0.4181 0.5845  1 B 1.56
O6 0.6790 0.1113 0.3670  1 B 1.47
B2 0.6954 0.3046 0.2500  4 O 1.47-1.56
Ir1 0.0000 0.0000 0.0000  6 O 1.90-2.12
Ir2 0.0000 0.0000 0.5000  6 O 1.90-2.12
O7 0.8887 0.3210 0.1330  1 B 1.47
O8 0.0860 0.9140 0.2500  2 Ir 1.90
O9 0.9140 0.0860 0.7500  2 Ir 1.90
O10 0.5819 0.7568 0.9155  1 B 1.56

Record 20
An optimized crystal structure of SrDy2Ga. Source: Alexandria, functional PBE.

Calculated values
Relative energy among the computed polymorphs (meV per atom): 185
DFT formation energy (eV/atom): 0.00
DFT total energy (eV per atom): -3.4756

Lattice parameters (Å, degrees): 3.6879 3.6879 11.5070 80.78 80.78 60.00
With the nearest neighbours (Å) after each atom.
Atoms (fractional coordinates):
Ga1 0.5000 0.5000 0.5000  6 Dy 2.96
Dy1 0.1059 0.1059 0.6822  3 Ga 2.96
Dy2 0.8941 0.8941 0.3178  3 Ga 2.96
Sr1 0.0000 0.0000 0.0000  2 Dy 3.59, 6 Sr 3.69